Computed, not measured: a relaxed structure of Mg2AlPb2 at the PBE level of DFT.

Properties
The formation enthalpy at 0 K comes out at 0.17 eV per atom. The density is 6.30 g cm⁻³. The value obtained for the relative energy among the computed polymorphs is 0.000 eV/atom.

abc: 8.5415 8.5415 3.5427
angles: 90.00 90.00 90.00
Space group P4/mbm (No. 127)
Symmetry-distinct sites (fractional):
Mg (0.1297, 0.3703, 0.0000)
Al (0.0000, 0.0000, 0.0000)
Pb (0.1717, 0.6717, 0.5000)

=====

Computed, not measured: a relaxed structure of TbDyInRu at the PBE level of DFT.

Properties
The formation enthalpy at 0 K comes out at -0.33 eV per atom. The density is 9.67 g cm⁻³. The value obtained for the relative energy among the computed polymorphs is 0.125 eV/atom.

abc: 7.1723 7.1723 7.1723
angles: 90.00 90.00 90.00
Space group F-43m (No. 216)
Symmetry-distinct sites (fractional):
Tb (0.0000, 0.0000, 0.0000)
Dy (0.0000, 0.0000, 0.5000)
In (0.2500, 0.2500, 0.7500)
Ru (0.2500, 0.2500, 0.2500)

=====

Computed, not measured: a relaxed structure of BaCdGe2W at the PBE level of DFT.

Properties
The formation enthalpy at 0 K comes out at -0.06 eV per atom. The density is 7.24 g cm⁻³.

abc: 4.9618 4.9618 5.3903
angles: 90.00 90.00 90.00
Space group P4/mmm (No. 123)
Symmetry-distinct sites (fractional):
Ba (0.0000, 0.0000, 0.0000)
Cd (0.5000, 0.5000, 0.0000)
Ge (0.0000, 0.5000, 0.5000)
W (0.5000, 0.5000, 0.5000)

=====

Computed, not measured: a relaxed structure of TbGeTe at the PBE level of DFT.

Properties
The calculation puts the final energy at -4.859 eV per atom. The density is 6.50 g cm⁻³.

abc: 3.8448 3.8448 24.8324
angles: 90.00 90.00 90.00
Space group I4/mmm (No. 139)
Symmetry-distinct sites (fractional):
Tb (0.0000, 0.0000, 0.1449)
Ge (0.0000, 0.0000, 0.2682)
Te (0.0000, 0.0000, 0.4130)

=====

Computed, not measured: a relaxed structure of TmMgSnRh at the PBE level of DFT.

Properties
The formation enthalpy at 0 K comes out at -0.55 eV per atom. The density is 8.93 g cm⁻³.

abc: 6.7573 6.7573 6.7573
angles: 90.00 90.00 90.00
Space group F-43m (No. 216)
Symmetry-distinct sites (fractional):
Tm (0.0000, 0.0000, 0.0000)
Mg (0.2500, 0.2500, 0.7500)
Sn (0.0000, 0.0000, 0.5000)
Rh (0.2500, 0.2500, 0.2500)

=====

Computed, not measured: a relaxed structure of SiPtRhBr2 at the PBE level of DFT.

Properties
The calculation puts the final energy at -3.601 eV per atom. The density is 6.68 g cm⁻³.

abc: 5.1128 5.1128 4.6221
angles: 90.00 90.00 90.00
Space group P4/mmm (No. 123)
Symmetry-distinct sites (fractional):
Si (0.0000, 0.0000, 0.0000)
Pt (0.0000, 0.0000, 0.5000)
Rh (0.5000, 0.5000, 0.5000)
Br (0.0000, 0.5000, 0.0000)

=====

Computed, not measured: a relaxed structure of CuSnPd2 at the PBE level of DFT.

Properties
The formation enthalpy at 0 K comes out at 0.05 eV per atom. The density is 9.33 g cm⁻³.

abc: 2.9353 4.5874 10.4489
angles: 90.00 90.00 90.00
Space group Immm (No. 71)
Symmetry-distinct sites (fractional):
Cu (0.0000, 0.0000, 0.0000)
Sn (0.0000, 0.0000, 0.5000)
Pd (0.0000, 0.0000, 0.2424)

=====

Computed, not measured: a relaxed structure of NdSmMgAg at the PBE level of DFT.

Properties
The formation enthalpy at 0 K comes out at -0.14 eV per atom. The density is 6.44 g cm⁻³. The value obtained for the relative energy among the computed polymorphs is 0.047 eV/atom.

abc: 7.6050 7.6050 7.6050
angles: 90.00 90.00 90.00
Space group F-43m (No. 216)
Symmetry-distinct sites (fractional):
Nd (0.0000, 0.0000, 0.0000)
Sm (0.0000, 0.0000, 0.5000)
Mg (0.2500, 0.2500, 0.2500)
Ag (0.2500, 0.2500, 0.7500)

=====

Computed, not measured: a relaxed structure of Pm2Si5Rh3 at the PBE level of DFT.

Properties
The calculation puts the final energy at -6.844 eV per atom. The density is 7.21 g cm⁻³.

abc: 9.9479 11.7704 5.8114
angles: 90.00 90.00 90.00
Space group Ibam (No. 72)
Symmetry-distinct sites (fractional):
Pm (0.2328, 0.1311, 0.0000)
Si (0.0000, 0.0000, 0.2500)
Si (0.0000, 0.2778, 0.2500)
Si (0.1558, 0.3937, 0.0000)
Rh (0.0000, 0.5000, 0.2500)
Rh (0.1079, 0.1392, 0.5000)

=====

Computed, not measured: a relaxed structure of LiCaRh2 at the PBE level of DFT.

Properties
The formation enthalpy at 0 K comes out at -0.06 eV per atom. The density is 6.24 g cm⁻³.

abc: 2.8229 4.0426 5.8938
angles: 90.00 90.00 90.00
Space group Pmmm (No. 47)
Symmetry-distinct sites (fractional):
Li (0.0000, 0.0000, 0.0000)
Ca (0.0000, 0.0000, 0.5000)
Rh (0.5000, 0.5000, 0.2140)

=====

Computed, not measured: a relaxed structure of In2FeTcSe at the PBE level of DFT.

Properties
The calculation puts the final energy at -4.298 eV per atom. The density is 5.79 g cm⁻³.

abc: 5.3778 5.3778 4.5874
angles: 90.00 90.00 90.00
Space group P4/mmm (No. 123)
Symmetry-distinct sites (fractional):
In (0.0000, 0.5000, 0.0000)
Fe (0.0000, 0.0000, 0.5000)
Tc (0.5000, 0.5000, 0.5000)
Se (0.5000, 0.5000, 0.0000)

=====

Computed, not measured: a relaxed structure of CrCdNi2 at the PBE level of DFT.

Properties
The formation enthalpy at 0 K comes out at 0.26 eV per atom. The density is 8.70 g cm⁻³.

abc: 2.6873 2.6873 25.7928
angles: 90.00 90.00 120.00
Space group R-3m (No. 166, hexagonal axes)
Symmetry-distinct sites (fractional):
Cr (0.0000, 0.0000, 0.0000)
Cd (0.0000, 0.0000, 0.5000)
Ni (0.0000, 0.0000, 0.2590)